A relaxed structure of NaSrTmTl, computed with GGA-PBE.

Values from the calculation:
- Electronic total energy: -10.0 eV/cell
- D(E_F): 3.5 states/eV/cell
- SG: F-43m (216)
- Magnetic moment: 0.0000 μB/atom

Cell and atoms, written as POSCAR:
```
NaSrTmTl
1.0
-2.562 4.766 1.516
-5.534 0.029 0.972
-1.928 0.609 5.243
Sr Tl Tm Na
1 1 1 1
direct
0.750 0.750 0.750
0.500 0.500 0.500
0.250 0.250 0.250
0.000 0.000 0.000
```

---

A relaxed structure of PrGe2Pd7Pb2, computed with GGA-PBE.

Values from the calculation:
- Electronic total energy: -62.7 eV/cell
- D(E_F): 3.7 states/eV/cell
- SG: C2/m (12)
- Magnetic moment: 0.0000 μB/atom

Cell and atoms, written as POSCAR:
```
PrGe2Pd7Pb2
1.0
-4.038 -0.261 -0.815
0.782 -0.292 -4.042
-0.444 -14.299 -0.526
Pr Ge Pd Pb
1 2 7 2
direct
0.000 0.000 0.000
0.589 0.589 0.746
0.411 0.411 0.254
0.500 0.500 0.000
0.370 0.370 0.428
0.630 0.630 0.572
0.944 0.445 0.156
0.445 0.944 0.156
0.555 0.056 0.844
0.056 0.555 0.844
0.890 0.890 0.382
0.110 0.110 0.618
```

---

A relaxed structure of V3Re2W2, computed with GGA-PBE.

Values from the calculation:
- ΔE to the lowest computed polymorph: 482 meV per atom
- Electronic total energy: -76.2 eV/cell
- D(E_F): 5.9 states/eV/cell
- SG: P-1 (2)
- Magnetic moment: 0.0000 μB/atom

Cell and atoms, written as POSCAR:
```
V3Re2W2
1.0
4.293 -0.011 0.001
-2.152 6.184 1.401
0.001 0.513 4.224
V Re W
3 2 2
direct
0.000 0.000 0.000
0.747 0.494 0.253
0.253 0.506 0.747
0.878 0.754 0.623
0.122 0.246 0.377
0.620 0.239 0.880
0.380 0.761 0.120
```

---

A relaxed structure of LiPmEuEr, computed with GGA-PBE.

Values from the calculation:
- Electronic total energy: -20.7 eV/cell
- D(E_F): 4.3 states/eV/cell
- SG: F-43m (216)
- Magnetic moment: 1.7844 μB/atom

Cell and atoms, written as POSCAR:
```
LiPmEuEr
1.0
5.649 0.000 0.000
2.824 4.892 0.000
2.824 1.631 4.612
Eu Li Er Pm
1 1 1 1
direct
0.500 0.500 0.500
0.250 0.250 0.250
0.750 0.750 0.750
0.000 0.000 0.000
```

---

A relaxed structure of TlSn2I, computed with GGA-PBE.

Values from the calculation:
- ΔE to the lowest computed polymorph: 0 meV per atom
- Uncorrected formation energy: 4.04 kcal/mol of atoms
- Electronic total energy: -11.2 eV/cell
- D(E_F): 3.4 states/eV/cell
- SG: Fm-3m (225)
- Magnetic moment: 0.0000 μB/atom

Cell and atoms, written as POSCAR:
```
TlSn2I
1.0
0.000 3.940 3.940
3.940 0.000 3.940
3.940 3.940 0.000
I Tl Sn
1 1 2
direct
0.000 0.000 0.000
0.500 0.500 0.500
0.250 0.250 0.250
0.750 0.750 0.750
```

---

A relaxed structure of AlAg2Mo, computed with GGA-PBE.

Values from the calculation:
- Electronic total energy: -19.0 eV/cell
- D(E_F): 3.0 states/eV/cell
- SG: Pmmm (47)
- Magnetic moment: 0.0000 μB/atom

Cell and atoms, written as POSCAR:
```
AlAg2Mo
1.0
2.777 0.000 0.000
0.000 4.287 0.000
0.000 0.000 5.579
Mo Al Ag
1 1 2
direct
0.500 0.500 0.750
0.500 0.500 0.250
0.000 0.000 0.000
0.000 0.000 0.500
```

---

A relaxed structure of Ga6Cu12Ag, computed with GGA-PBE.

Values from the calculation:
- Electronic total energy: -68.2 eV/cell
- D(E_F): 5.6 states/eV/cell
- SG: R-3m (166)
- Magnetic moment: 0.0000 μB/atom

Cell and atoms, written as POSCAR:
```
Ga6Cu12Ag
1.0
-5.038 2.924 -3.664
-3.169 -4.097 4.532
2.744 5.088 3.733
Ga Cu Ag
6 12 1
direct
0.696 0.295 0.295
0.295 0.295 0.696
0.295 0.696 0.295
0.705 0.705 0.304
0.304 0.705 0.705
0.705 0.304 0.705
0.888 0.112 0.500
0.890 0.648 0.648
0.648 0.648 0.890
0.352 0.110 0.352
0.352 0.352 0.110
0.110 0.352 0.352
0.112 0.500 0.888
0.500 0.888 0.112
0.112 0.888 0.500
0.888 0.500 0.112
0.500 0.112 0.888
0.648 0.890 0.648
0.000 0.000 0.000
```

---

A relaxed structure of Ba2TlAg, computed with GGA-PBE.

Values from the calculation:
- ΔE to the lowest computed polymorph: 160 meV per atom
- Electronic total energy: -9.7 eV/cell
- D(E_F): 2.8 states/eV/cell
- SG: P4mm (99)
- Magnetic moment: 0.0000 μB/atom

Cell and atoms, written as POSCAR:
```
Ba2TlAg
1.0
4.842 0.000 0.000
0.000 4.833 0.000
0.000 0.000 7.354
Tl Ba Ag
1 2 1
direct
0.000 0.000 0.445
0.000 0.000 0.912
0.500 0.500 0.325
0.500 0.500 0.818
```

---

A relaxed structure of TlFeSi2, computed with GGA-PBE.

Values from the calculation:
- ΔE to the lowest computed polymorph: 772 meV per atom
- Uncorrected formation energy: 20.84 kcal/mol of atoms
- Electronic total energy: -18.1 eV/cell
- D(E_F): 5.0 states/eV/cell
- SG: Fm-3m (225)
- Magnetic moment: 0.0000 μB/atom

Cell and atoms, written as POSCAR:
```
TlFeSi2
1.0
0.000 3.204 3.204
3.204 0.000 3.204
3.204 3.204 0.000
Tl Si Fe
1 2 1
direct
0.500 0.500 0.500
0.250 0.250 0.250
0.750 0.750 0.750
0.000 0.000 0.000
```

---

A relaxed structure of CaAcH6Pt2, computed with GGA-PBE.

Values from the calculation:
- Electronic total energy: -43.1 eV/cell
- D(E_F): 2.7 states/eV/cell
- SG: R-3m (166)
- Magnetic moment: 0.0000 μB/atom

Cell and atoms, written as POSCAR:
```
CaAcH6Pt2
1.0
4.907 0.000 0.000
2.454 4.250 0.000
2.454 1.417 5.751
Ca Ac H Pt
1 1 6 2
direct
0.500 0.500 0.500
0.000 0.000 0.000
0.053 0.569 0.809
0.569 0.053 0.809
0.431 0.431 0.191
0.947 0.431 0.191
0.431 0.947 0.191
0.569 0.569 0.809
0.788 0.788 0.636
0.212 0.212 0.364
```

---

A relaxed structure of Nd6Sm12Er, computed with GGA-PBE.

Values from the calculation:
- ΔE to the lowest computed polymorph: 0 meV per atom
- Electronic total energy: -87.2 eV/cell
- D(E_F): 30.8 states/eV/cell
- SG: R-3 (148)
- Magnetic moment: 0.0000 μB/atom

Cell and atoms, written as POSCAR:
```
Nd6Sm12Er
1.0
8.635 0.679 0.813
-0.638 8.638 0.813
-0.638 -0.744 8.644
Nd Sm Er
6 12 1
direct
0.738 0.906 0.303
0.697 0.262 0.094
0.094 0.697 0.262
0.262 0.094 0.697
0.303 0.738 0.906
0.906 0.303 0.738
0.778 0.536 0.437
0.437 0.778 0.536
0.536 0.437 0.778
0.222 0.464 0.563
0.563 0.222 0.464
0.464 0.563 0.222
0.017 0.194 0.359
0.806 0.641 0.983
0.641 0.983 0.806
0.983 0.806 0.641
0.194 0.359 0.017
0.359 0.017 0.194
0.000 0.000 0.000
```

---

A relaxed structure of Mo2HW, computed with GGA-PBE.

Values from the calculation:
- ΔE to the lowest computed polymorph: 0 meV per atom
- Electronic total energy: -71.7 eV/cell
- D(E_F): 10.1 states/eV/cell
- SG: I-42d (122)
- Magnetic moment: 0.0000 μB/atom

Cell and atoms, written as POSCAR:
```
Mo2HW
1.0
5.983 0.000 0.000
0.000 5.983 0.000
2.991 2.991 2.946
H Mo W
2 4 2
direct
0.500 0.500 0.000
0.250 0.750 0.500
0.526 0.125 0.250
0.224 0.625 0.250
0.375 0.474 0.750
0.875 0.776 0.750
0.000 0.000 0.000
0.750 0.250 0.500
```

---

A relaxed structure of La6Hg2Ir3, computed with GGA-PBE.

Values from the calculation:
- Electronic total energy: -63.7 eV/cell
- D(E_F): 9.1 states/eV/cell
- SG: C2/m (12)
- Magnetic moment: 0.0000 μB/atom

Cell and atoms, written as POSCAR:
```
La6Hg2Ir3
1.0
7.019 0.000 2.105
3.509 6.351 1.052
0.132 0.000 8.163
La Hg Ir
6 2 3
direct
0.400 0.661 0.801
0.738 0.000 0.804
0.062 0.339 0.801
0.262 0.000 0.196
0.600 0.339 0.199
0.938 0.661 0.199
0.165 0.669 0.500
0.835 0.331 0.500
0.000 0.000 0.000
0.334 0.333 0.000
0.666 0.667 0.000
```

---

A relaxed structure of ScCuGe, computed with GGA-PBE.

Values from the calculation:
- Electronic total energy: -32.7 eV/cell
- D(E_F): 2.2 states/eV/cell
- SG: P3m1 (156)
- Magnetic moment: 0.0000 μB/atom

Cell and atoms, written as POSCAR:
```
ScCuGe
1.0
-3.789 3.850 3.961
-2.877 0.363 -3.109
-3.171 -2.817 -0.299
Sc Ge Cu
2 2 2
direct
0.057 0.391 0.867
0.424 0.725 0.200
0.206 0.058 0.534
0.645 0.392 0.867
0.831 0.724 0.200
0.787 0.058 0.534
```

---

A relaxed structure of TmLuCuRu, computed with GGA-PBE.

Values from the calculation:
- Electronic total energy: -24.0 eV/cell
- D(E_F): 2.1 states/eV/cell
- SG: F-43m (216)
- Magnetic moment: 0.0000 μB/atom

Cell and atoms, written as POSCAR:
```
TmLuCuRu
1.0
4.772 0.000 0.000
2.386 4.132 0.000
2.386 1.377 3.896
Ru Lu Tm Cu
1 1 1 1
direct
0.750 0.750 0.750
0.500 0.500 0.500
0.000 0.000 0.000
0.250 0.250 0.250
```

---

A relaxed structure of Cr2RhN, computed with GGA-PBE.

Values from the calculation:
- Uncorrected formation energy: -7.39 kcal/mol of atoms
- Electronic total energy: -36.2 eV/cell
- D(E_F): 3.9 states/eV/cell
- SG: P-6m2 (187)
- Magnetic moment: 0.0001 μB/atom

Cell and atoms, written as POSCAR:
```
Cr2RhN
1.0
-0.130 0.978 -2.506
-2.308 -0.136 -1.380
-1.824 6.044 2.454
Cr Rh N
2 1 1
direct
0.071 0.190 0.865
0.071 0.190 0.235
0.737 0.857 0.550
0.404 0.524 0.050
```

---

A relaxed structure of Ti8CN6, computed with GGA-PBE.

Values from the calculation:
- Uncorrected formation energy: -25.83 kcal/mol of atoms
- Electronic total energy: -139.1 eV/cell
- D(E_F): 5.6 states/eV/cell
- SG: P-3 (147)
- Magnetic moment: 0.0000 μB/atom

Cell and atoms, written as POSCAR:
```
Ti8CN6
1.0
-2.242 -1.950 -0.489
1.677 -0.004 -7.678
3.467 -5.185 4.782
Ti C N
8 1 6
direct
0.739 0.970 0.305
0.739 0.695 0.664
0.739 0.336 0.030
0.261 0.030 0.695
0.261 0.305 0.336
0.261 0.664 0.970
0.748 0.333 0.667
0.252 0.667 0.333
0.500 0.000 0.000
0.754 0.663 0.137
0.754 0.863 0.525
0.754 0.475 0.337
0.246 0.337 0.863
0.246 0.137 0.475
0.246 0.525 0.663
```

---

A relaxed structure of La3In8Cu3, computed with GGA-PBE.

Values from the calculation:
- Electronic total energy: -53.6 eV/cell
- D(E_F): 6.0 states/eV/cell
- SG: C2/m (12)
- Magnetic moment: 0.0000 μB/atom

Cell and atoms, written as POSCAR:
```
La3In8Cu3
1.0
4.632 0.000 1.222
1.541 8.141 3.550
0.117 -0.209 8.949
La In Cu
3 8 3
direct
0.292 0.698 0.718
0.708 0.302 0.282
0.000 0.000 0.000
0.142 0.150 0.565
0.858 0.850 0.435
0.851 0.426 0.872
0.149 0.574 0.128
0.504 0.673 0.319
0.496 0.327 0.681
0.351 0.038 0.260
0.649 0.962 0.740
0.000 0.500 0.500
0.656 0.694 0.995
0.344 0.306 0.005
```

---

A relaxed structure of Tb4HoLu, computed with GGA-PBE.

Values from the calculation:
- Electronic total energy: -26.1 eV/cell
- D(E_F): 8.3 states/eV/cell
- SG: F-43m (216)
- Magnetic moment: 0.0001 μB/atom

Cell and atoms, written as POSCAR:
```
Tb4HoLu
1.0
6.517 0.000 0.000
3.259 5.644 0.000
3.259 1.881 5.322
Lu Tb Ho
1 4 1
direct
0.000 0.000 0.000
0.625 0.625 0.125
0.625 0.125 0.625
0.625 0.625 0.625
0.125 0.625 0.625
0.250 0.250 0.250
```

---

A relaxed structure of Ba8Rh3I4Cl, computed with GGA-PBE.

Values from the calculation:
- Uncorrected formation energy: -23.76 kcal/mol of atoms
- Electronic total energy: -62.0 eV/cell
- D(E_F): 8.9 states/eV/cell
- SG: R-3m (166)
- Magnetic moment: 0.0000 μB/atom

Cell and atoms, written as POSCAR:
```
Ba8Rh3I4Cl
1.0
9.302 0.000 0.000
0.000 10.081 0.538
-4.651 -4.647 6.583
Ba Rh I Cl
8 3 4 1
direct
0.241 0.697 0.956
0.241 0.697 0.483
0.265 0.294 0.529
0.714 0.697 0.956
0.286 0.303 0.044
0.735 0.706 0.471
0.759 0.303 0.517
0.759 0.303 0.044
0.500 0.500 0.000
0.500 0.500 0.500
0.000 0.500 0.500
0.500 0.000 0.000
0.500 0.000 0.500
0.000 0.000 0.000
0.000 0.000 0.500
0.000 0.500 0.000
```

---

A relaxed structure of Ac2BePt6Rh, computed with GGA-PBE.

Values from the calculation:
- Electronic total energy: -62.6 eV/cell
- D(E_F): 5.5 states/eV/cell
- SG: C2/m (12)
- Magnetic moment: 0.0000 μB/atom

Cell and atoms, written as POSCAR:
```
Ac2BePt6Rh
1.0
-1.186 -0.952 5.782
7.183 -0.254 1.432
4.176 3.872 4.585
Ac Be Pt Rh
2 1 6 1
direct
0.719 0.280 0.562
0.281 0.720 0.438
0.500 0.500 0.000
0.261 0.193 0.477
0.805 0.738 0.934
0.261 0.738 0.934
0.739 0.262 0.066
0.195 0.262 0.066
0.739 0.807 0.523
0.000 0.000 0.000
```

---

A relaxed structure of InHg2Sb, computed with GGA-PBE.

Values from the calculation:
- Uncorrected formation energy: 1.91 kcal/mol of atoms
- Electronic total energy: -7.1 eV/cell
- D(E_F): 1.3 states/eV/cell
- SG: P4mm (99)
- Magnetic moment: 0.0000 μB/atom

Cell and atoms, written as POSCAR:
```
InHg2Sb
1.0
3.355 0.000 0.000
0.000 3.355 0.000
0.000 0.000 9.504
Hg In Sb
2 1 1
direct
0.000 0.000 0.010
0.500 0.500 0.247
0.000 0.000 0.493
0.500 0.500 0.750
```

---

A relaxed structure of NdEr2ZrAs4, computed with GGA-PBE.

Values from the calculation:
- Electronic total energy: -52.2 eV/cell
- D(E_F): 1.4 states/eV/cell
- SG: P2/m (10)
- Magnetic moment: 0.0000 μB/atom

Cell and atoms, written as POSCAR:
```
NdEr2ZrAs4
1.0
-1.516 -1.874 -3.275
6.331 -2.816 -1.320
-3.647 -4.336 4.169
Nd Er Zr As
1 2 1 4
direct
0.500 0.500 0.000
0.500 0.000 0.500
0.000 0.500 0.500
0.000 0.000 0.000
0.500 0.238 0.246
0.500 0.762 0.754
0.000 0.237 0.747
0.000 0.763 0.253
```

---

A relaxed structure of La2PmTl3, computed with GGA-PBE.

Values from the calculation:
- ΔE to the lowest computed polymorph: 154 meV per atom
- Electronic total energy: -46.5 eV/cell
- D(E_F): 11.2 states/eV/cell
- SG: Cmcm (63)
- Magnetic moment: 0.0003 μB/atom

Cell and atoms, written as POSCAR:
```
La2PmTl3
1.0
3.846 0.000 0.000
0.000 6.872 0.000
-1.923 0.000 14.938
La Pm Tl
4 2 6
direct
0.154 0.750 0.308
0.846 0.250 0.692
0.993 0.750 0.986
0.007 0.250 0.014
0.332 0.750 0.664
0.668 0.250 0.336
0.422 0.487 0.845
0.578 0.513 0.155
0.422 0.013 0.845
0.578 0.987 0.155
0.746 0.750 0.492
0.254 0.250 0.508
```